1.
! TlSiBiH2 | the Alexandria database | PBE | optimized geometry; values from VASP
&SYSTEM
  ibrav = 0, nat = 5, ntyp = 4
/
ATOMIC_SPECIES
Tl 204.38 Tl.upf
Si 28.09 Si.upf
Bi 208.98 Bi.upf
H 1.01 H.upf
CELL_PARAMETERS angstrom
3.969 0.000 0.000
0.000 3.969 0.000
0.000 0.000 6.256
ATOMIC_POSITIONS angstrom
Tl 0.000 0.000 0.000
Si 0.000 0.000 3.128
Bi 1.985 1.985 3.128
H 0.000 1.985 0.000
H 1.985 0.000 0.000
! * size of the total moment: 0.000 Bohr magnetons per cell
! * space-group type: P4/mmm, No. 123
! * raw total energy: -3.077 eV per atom

***

2.
! La3Pr3DyS8 | the Alexandria database | PBE | optimized geometry; values from VASP
&SYSTEM
  ibrav = 0, nat = 15, ntyp = 4
/
ATOMIC_SPECIES
La 138.91 La.upf
Pr 140.91 Pr.upf
Dy 162.50 Dy.upf
S 32.06 S.upf
CELL_PARAMETERS angstrom
4.099 2.366 6.754
-4.099 2.366 6.754
0.000 -4.733 6.754
ATOMIC_POSITIONS angstrom
La -2.049 -1.183 6.754
La -2.049 1.183 13.507
La 0.000 2.366 6.754
Pr -4.099 0.000 10.131
Pr -2.049 1.183 3.377
Pr 2.049 1.183 3.377
Dy 0.000 0.000 10.131
S 0.000 0.000 5.058
S -1.967 -1.135 11.740
S 0.000 -2.271 8.521
S -1.967 1.135 8.521
S 1.967 -1.135 11.740
S 0.000 2.271 11.740
S 1.967 1.135 8.521
S 0.000 0.000 15.203
! * size of the total moment: 0.000 Bohr magnetons per cell
! * space-group type: R-3m, No. 166
! * formation energy without anion corrections: -2106 meV/atom

***

3.
! CaTc3P | the Alexandria database | PBE | optimized geometry; values from VASP
&SYSTEM
  ibrav = 0, nat = 5, ntyp = 3
/
ATOMIC_SPECIES
Ca 40.08 Ca.upf
Tc 98.00 Tc.upf
P 30.97 P.upf
CELL_PARAMETERS angstrom
4.496 0.000 0.000
0.000 4.496 0.000
0.000 0.000 4.496
ATOMIC_POSITIONS angstrom
Ca 0.000 0.000 0.000
Tc 0.000 2.248 2.248
Tc 2.248 0.000 2.248
Tc 2.248 2.248 0.000
P 2.248 2.248 2.248
! * size of the total moment: 1.697 Bohr magnetons per cell
! * formation energy from the elements: 0.256 eV per atom
! * excess energy over the best structure of this formula in the dataset: 0.0000 eV per atom
! * space-group type: Pm-3m, No. 221

***

4.
! TbTe2Pd | the Alexandria database | PBE | optimized geometry; values from VASP
&SYSTEM
  ibrav = 0, nat = 4, ntyp = 3
/
ATOMIC_SPECIES
Tb 158.93 Tb.upf
Te 127.60 Te.upf
Pd 106.42 Pd.upf
CELL_PARAMETERS angstrom
2.106 1.216 6.912
-2.106 1.216 6.912
0.000 -2.432 6.912
ATOMIC_POSITIONS angstrom
Tb 0.000 0.000 0.000
Te 0.000 0.000 5.018
Te 0.000 0.000 8.893
Pd 0.000 0.000 17.364
! * size of the total moment: 0.000 Bohr magnetons per cell
! * excess energy over the best structure of this formula in the dataset: 0.0000 eV per atom
! * space-group type: R3m, No. 160
! * formation energy without anion corrections: -758 meV/atom

***

5.
! NiOs | the Alexandria database | PBE | optimized geometry; values from VASP
&SYSTEM
  ibrav = 0, nat = 8, ntyp = 2
/
ATOMIC_SPECIES
Ni 58.69 Ni.upf
Os 190.23 Os.upf
CELL_PARAMETERS angstrom
-4.527 4.527 1.323
4.527 -4.527 1.323
4.527 4.527 -1.323
ATOMIC_POSITIONS angstrom
Ni 7.634 1.017 0.000
Ni 1.017 1.420 0.000
Ni 3.510 3.107 1.323
Ni -3.107 3.510 1.323
Os 5.107 1.507 0.000
Os 1.507 3.947 0.000
Os 3.020 0.580 1.323
Os -0.580 3.020 1.323
! * size of the total moment: 0.000 Bohr magnetons per cell
! * formation energy from the elements: 0.346 eV per atom
! * space-group type: I4/m, No. 87

***

6.
! Cs2ZrCu3F12 | the Alexandria database | PBE | optimized geometry; values from VASP
&SYSTEM
  ibrav = 0, nat = 36, ntyp = 4
/
ATOMIC_SPECIES
Cs 132.91 Cs.upf
Zr 91.22 Zr.upf
Cu 63.55 Cu.upf
F 19.00 F.upf
CELL_PARAMETERS angstrom
7.936 0.000 0.000
0.000 7.186 0.000
-0.920 0.000 10.405
ATOMIC_POSITIONS angstrom
Cs -0.014 1.796 1.538
Cs 2.981 5.389 6.503
Cs 4.035 1.796 3.902
Cs 7.030 5.389 8.867
Zr 2.134 5.389 2.527
Zr 4.882 1.796 7.878
Cu -0.460 0.000 5.202
Cu -0.460 3.593 5.202
Cu 1.035 1.796 8.023
Cu 3.968 0.000 0.000
Cu 3.968 3.593 0.000
Cu 5.981 5.389 2.382
F -0.268 1.796 4.557
F 0.367 5.389 1.506
F 0.519 0.342 6.851
F 0.519 3.251 6.851
F 1.490 4.113 4.021
F 1.490 6.665 4.021
F 1.504 0.387 9.303
F 1.504 3.206 9.303
F 2.589 0.133 1.818
F 2.589 3.460 1.818
F 3.182 5.389 0.391
F 3.046 1.796 6.978
F 3.970 5.389 3.427
F 3.834 1.796 10.014
F 4.427 3.725 8.587
F 4.427 7.053 8.587
F 5.512 3.980 1.102
F 5.512 6.798 1.102
F 5.526 0.521 6.384
F 5.526 3.072 6.384
F 6.497 3.935 3.554
F 6.497 6.843 3.554
F 6.649 1.796 8.899
F 7.284 5.389 5.848
! * size of the total moment: 5.699 Bohr magnetons per cell
! * excess energy over the best structure of this formula in the dataset: 0.0040 eV per atom
! * space-group type: P2_1/m, No. 11
! * formation energy without anion corrections: -2456 meV/atom